# DyTm2Al2Ga2

DyTm2Al2Ga2 after structural relaxation (PBE, Alexandria via LeMat-Bulk).

Lattice parameters (Å, degrees): 10.022 10.022 10.022 25.10 25.10 25.10
Atoms (fractional coordinates):
Dy  0.000  0.000  0.000
Tm  0.128  0.128  0.128
Tm  0.872  0.872  0.872
Al  0.395  0.395  0.395
Al  0.605  0.605  0.605
Ga  0.258  0.258  0.258
Ga  0.742  0.742  0.742

Properties
As for the formation energy: -0.36 eV/atom. As for the total magnetization: 0.0 μB per cell. The total energy comes out at -29.6 eV per cell.